Arrangement one

# Be2FeOs, optimized geometry, DFT PBE
# **DOS(E_F)**: 2.5 states/eV/cell
data_Be2FeOs
_symmetry_space_group_name_H-M 'P 1 2/m 1'
_symmetry_Int_Tables_number 10
_cell_length_a 2.507
_cell_length_b 3.703
_cell_length_c 4.705
_cell_angle_alpha 90.00
_cell_angle_beta 98.17
_cell_angle_gamma 90.00
loop_
_symmetry_equiv_pos_as_xyz
'x,y,z'
'-x,-y,-z'
'-x,y,-z'
'x,-y,z'
loop_
_atom_site_label
_atom_site_fract_x
_atom_site_fract_y
_atom_site_fract_z
_atom_site_occupancy
Be1 0.206 0.000 0.252 1
Fe1 0.000 0.500 0.500 1
Os1 0.500 0.500 0.000 1

---

Arrangement two

# Be2FeOs, optimized geometry, DFT PBE
# **DOS(E_F)**: 4.5 states/eV/cell
data_Be2FeOs
_symmetry_space_group_name_H-M 'I -4 m 2'
_symmetry_Int_Tables_number 119
_symmetry_space_group_name_Hall 'I -4 -2'
_cell_length_a 3.535
_cell_length_b 3.535
_cell_length_c 6.808
_cell_angle_alpha 90.00
_cell_angle_beta 90.00
_cell_angle_gamma 90.00
loop_
_atom_site_label
_atom_site_fract_x
_atom_site_fract_y
_atom_site_fract_z
_atom_site_occupancy
Be1 0.000 0.000 0.000 1
Be2 0.000 0.500 0.250 1
Fe1 0.000 0.500 0.750 1
Os1 0.000 0.000 0.500 1

---

Most stable one: arrangement two, least stable one: arrangement one.

---

Arrangement one

# Be2FeOs, optimized geometry, DFT PBE
# **DOS(E_F)**: 4.6 states/eV/cell
data_Be2FeOs
_symmetry_space_group_name_H-M 'C m m 2'
_symmetry_Int_Tables_number 35
_cell_length_a 2.805
_cell_length_b 4.258
_cell_length_c 7.646
_cell_angle_alpha 90.00
_cell_angle_beta 90.00
_cell_angle_gamma 90.00
loop_
_symmetry_equiv_pos_as_xyz
'x,y,z'
'-x,-y,z'
'-x,y,z'
'x,-y,z'
'x+1/2,y+1/2,z'
'-x+1/2,-y+1/2,z'
'-x+1/2,y+1/2,z'
'x+1/2,-y+1/2,z'
loop_
_atom_site_label
_atom_site_fract_x
_atom_site_fract_y
_atom_site_fract_z
_atom_site_occupancy
Be1 0.000 0.000 0.000 1
Be2 0.000 0.500 0.232 1
Fe1 0.000 0.000 0.468 1
Os1 0.000 0.500 0.750 1

---

Arrangement two

# Be2FeOs, optimized geometry, DFT PBE
# **DOS(E_F)**: 1.7 states/eV/cell
data_Be2FeOs
_symmetry_space_group_name_H-M 'P m m m'
_symmetry_Int_Tables_number 47
_cell_length_a 3.034
_cell_length_b 3.571
_cell_length_c 3.984
_cell_angle_alpha 90.00
_cell_angle_beta 90.00
_cell_angle_gamma 90.00
loop_
_symmetry_equiv_pos_as_xyz
'x,y,z'
'-x,-y,-z'
'-x,-y,z'
'x,y,-z'
'x,-y,-z'
'-x,y,z'
'-x,y,-z'
'x,-y,z'
loop_
_atom_site_label
_atom_site_fract_x
_atom_site_fract_y
_atom_site_fract_z
_atom_site_occupancy
Be1 0.000 0.000 0.000 1
Be2 0.500 0.000 0.500 1
Fe1 0.000 0.500 0.500 1
Os1 0.500 0.500 0.000 1

---

Arrangement three

# Be2FeOs, optimized geometry, DFT PBE
# **DOS(E_F)**: 5.2 states/eV/cell
data_Be2FeOs
_symmetry_space_group_name_H-M 'C 1 2/m 1'
_symmetry_Int_Tables_number 12
_cell_length_a 5.012
_cell_length_b 7.347
_cell_length_c 2.509
_cell_angle_alpha 90.00
_cell_angle_beta 110.06
_cell_angle_gamma 90.00
loop_
_symmetry_equiv_pos_as_xyz
'x,y,z'
'-x,-y,-z'
'-x,y,-z'
'x,-y,z'
'x+1/2,y+1/2,z'
'-x+1/2,-y+1/2,-z'
'-x+1/2,y+1/2,-z'
'x+1/2,-y+1/2,z'
loop_
_atom_site_label
_atom_site_fract_x
_atom_site_fract_y
_atom_site_fract_z
_atom_site_occupancy
Be1 0.250 0.250 0.000 1
Fe1 0.000 0.000 0.500 1
Os1 0.000 0.500 0.500 1

---

Arrangement four

# Be2FeOs, optimized geometry, DFT PBE
# **DOS(E_F)**: 5.9 states/eV/cell
data_Be2FeOs
_symmetry_space_group_name_H-M 'I m m 2'
_symmetry_Int_Tables_number 44
_cell_length_a 2.800
_cell_length_b 3.770
_cell_length_c 7.745
_cell_angle_alpha 90.00
_cell_angle_beta 90.00
_cell_angle_gamma 90.00
loop_
_symmetry_equiv_pos_as_xyz
'x,y,z'
'-x,-y,z'
'-x,y,z'
'x,-y,z'
'x+1/2,y+1/2,z+1/2'
'-x+1/2,-y+1/2,z+1/2'
'-x+1/2,y+1/2,z+1/2'
'x+1/2,-y+1/2,z+1/2'
loop_
_atom_site_label
_atom_site_fract_x
_atom_site_fract_y
_atom_site_fract_z
_atom_site_occupancy
Be1 0.000 0.000 0.000 1
Be2 0.000 0.500 0.273 1
Fe1 0.000 0.500 0.748 1
Os1 0.000 0.000 0.513 1

---

Most stable one: arrangement four, least stable one: arrangement one.

---

Arrangement one

# BeFeOs3, optimized geometry, DFT PBE
# **DOS(E_F)**: 5.4 states/eV/cell
data_BeFeOs3
_symmetry_space_group_name_H-M 'P m -3 m'
_symmetry_Int_Tables_number 221
_symmetry_space_group_name_Hall '-P 4 2 3'
_cell_length_a 4.036
_cell_length_b 4.036
_cell_length_c 4.036
_cell_angle_alpha 90.00
_cell_angle_beta 90.00
_cell_angle_gamma 90.00
loop_
_atom_site_label
_atom_site_fract_x
_atom_site_fract_y
_atom_site_fract_z
_atom_site_occupancy
Be1 0.000 0.000 0.000 1
Fe1 0.500 0.500 0.500 1
Os1 0.000 0.000 0.500 1

---

Arrangement two

# BeFeOs3, optimized geometry, DFT PBE
# **DOS(E_F)**: 4.8 states/eV/cell
data_BeFeOs3
_symmetry_space_group_name_H-M 'P m -3 m'
_symmetry_Int_Tables_number 221
_symmetry_space_group_name_Hall '-P 4 2 3'
_cell_length_a 4.377
_cell_length_b 4.377
_cell_length_c 4.377
_cell_angle_alpha 90.00
_cell_angle_beta 90.00
_cell_angle_gamma 90.00
loop_
_atom_site_label
_atom_site_fract_x
_atom_site_fract_y
_atom_site_fract_z
_atom_site_occupancy
Be1 0.000 0.000 0.000 1
Fe1 0.500 0.500 0.500 1
Os1 0.000 0.500 0.500 1

---

Most stable one: arrangement one, least stable one: arrangement two.

---

Arrangement one

# Be2Fe2P, optimized geometry, DFT PBE
# **DOS(E_F)**: 3.2 states/eV/cell
data_Be2Fe2P
_symmetry_space_group_name_H-M 'P 4/m b m'
_symmetry_Int_Tables_number 127
_symmetry_space_group_name_Hall '-P 4 2ab'
_cell_length_a 5.519
_cell_length_b 5.519
_cell_length_c 3.078
_cell_angle_alpha 90.00
_cell_angle_beta 90.00
_cell_angle_gamma 90.00
loop_
_atom_site_label
_atom_site_fract_x
_atom_site_fract_y
_atom_site_fract_z
_atom_site_occupancy
Be1 0.126 0.374 0.000 1
Fe1 0.174 0.674 0.500 1
P1 0.000 0.000 0.000 1

---

Arrangement two

# Be2Fe2P, optimized geometry, DFT PBE
# **DOS(E_F)**: 7.5 states/eV/cell
data_Be2Fe2P
_symmetry_space_group_name_H-M 'P 4/m b m'
_symmetry_Int_Tables_number 127
_symmetry_space_group_name_Hall '-P 4 2ab'
_cell_length_a 5.533
_cell_length_b 5.533
_cell_length_c 3.367
_cell_angle_alpha 90.00
_cell_angle_beta 90.00
_cell_angle_gamma 90.00
loop_
_atom_site_label
_atom_site_fract_x
_atom_site_fract_y
_atom_site_fract_z
_atom_site_occupancy
Be1 0.143 0.357 0.000 1
Fe1 0.154 0.654 0.500 1
P1 0.000 0.000 0.500 1

---

Most stable one: arrangement two, least stable one: arrangement one.

---

Arrangement one

# Be3FeP, optimized geometry, DFT PBE
# **DOS(E_F)**: 2.9 states/eV/cell
data_Be3FeP
_symmetry_space_group_name_H-M 'P m -3 m'
_symmetry_Int_Tables_number 221
_symmetry_space_group_name_Hall '-P 4 2 3'
_cell_length_a 3.948
_cell_length_b 3.948
_cell_length_c 3.948
_cell_angle_alpha 90.00
_cell_angle_beta 90.00
_cell_angle_gamma 90.00
loop_
_atom_site_label
_atom_site_fract_x
_atom_site_fract_y
_atom_site_fract_z
_atom_site_occupancy
Be1 0.000 0.000 0.500 1
Fe1 0.000 0.000 0.000 1
P1 0.500 0.500 0.500 1

---

Arrangement two

# Be3FeP, optimized geometry, DFT PBE
# **DOS(E_F)**: 4.7 states/eV/cell
data_Be3FeP
_symmetry_space_group_name_H-M 'P m -3 m'
_symmetry_Int_Tables_number 221
_symmetry_space_group_name_Hall '-P 4 2 3'
_cell_length_a 4.020
_cell_length_b 4.020
_cell_length_c 4.020
_cell_angle_alpha 90.00
_cell_angle_beta 90.00
_cell_angle_gamma 90.00
loop_
_atom_site_label
_atom_site_fract_x
_atom_site_fract_y
_atom_site_fract_z
_atom_site_occupancy
Be1 0.000 0.000 0.500 1
Fe1 0.500 0.500 0.500 1
P1 0.000 0.000 0.000 1

---

Most stable one: arrangement two, least stable one: arrangement one.

---

Arrangement one

# BeFeP3, optimized geometry, DFT PBE
# **DOS(E_F)**: 7.2 states/eV/cell
data_BeFeP3
_symmetry_space_group_name_H-M 'P m -3 m'
_symmetry_Int_Tables_number 221
_symmetry_space_group_name_Hall '-P 4 2 3'
_cell_length_a 4.119
_cell_length_b 4.119
_cell_length_c 4.119
_cell_angle_alpha 90.00
_cell_angle_beta 90.00
_cell_angle_gamma 90.00
loop_
_atom_site_label
_atom_site_fract_x
_atom_site_fract_y
_atom_site_fract_z
_atom_site_occupancy
Be1 0.000 0.000 0.000 1
Fe1 0.500 0.500 0.500 1
P1 0.000 0.000 0.500 1

---

Arrangement two

# BeFeP3, optimized geometry, DFT PBE
# **DOS(E_F)**: 4.5 states/eV/cell
data_BeFeP3
_symmetry_space_group_name_H-M 'P m -3 m'
_symmetry_Int_Tables_number 221
_symmetry_space_group_name_Hall '-P 4 2 3'
_cell_length_a 4.320
_cell_length_b 4.320
_cell_length_c 4.320
_cell_angle_alpha 90.00
_cell_angle_beta 90.00
_cell_angle_gamma 90.00
loop_
_atom_site_label
_atom_site_fract_x
_atom_site_fract_y
_atom_site_fract_z
_atom_site_occupancy
Be1 0.000 0.000 0.000 1
Fe1 0.500 0.500 0.500 1
P1 0.000 0.500 0.500 1

---

Most stable one: arrangement two, least stable one: arrangement one.